NbSnGeO6 | PBE | optimized geometry

Calculated values
Total DFT energy (no corrections): -7.1909 eV per atom
SG: No. 163

Cell: 5.192 5.192 9.457 Å, 90.00 90.00 120.00°
Fractional coordinates of all 18 atoms:
O  0.355  0.369  0.863
O  0.986  0.631  0.363
O  0.645  0.631  0.137
O  0.645  0.014  0.363
O  0.014  0.645  0.863
O  0.369  0.014  0.137
O  0.986  0.355  0.137
O  0.355  0.986  0.637
O  0.631  0.645  0.637
O  0.014  0.369  0.637
O  0.631  0.986  0.863
O  0.369  0.355  0.363
Nb  0.333  0.667  0.250
Nb  0.667  0.333  0.750
Ge  0.667  0.333  0.250
Ge  0.333  0.667  0.750
Sn  0.000  0.000  0.000
Sn  0.000  0.000  0.500

***

SrNbGeO6 | PBE | optimized geometry

Calculated values
Total DFT energy (no corrections): -7.2588 eV per atom
SG: No. 163

Cell: 5.273 5.273 10.666 Å, 90.00 90.00 120.00°
Site moments in Bohr magnetons follow the coordinates.
Fractional coordinates of all 18 atoms:
O  0.389  0.375  0.852  0.16
O  0.611  0.625  0.148  0.16
O  0.625  0.014  0.852  0.16
O  0.014  0.625  0.352  0.16
O  0.375  0.389  0.352  0.16
O  0.986  0.611  0.852  0.16
O  0.389  0.014  0.648  0.16
O  0.986  0.375  0.648  0.16
O  0.611  0.986  0.352  0.16
O  0.014  0.389  0.148  0.16
O  0.625  0.611  0.648  0.16
O  0.375  0.986  0.148  0.16
Ge  0.333  0.667  0.250  -0.01
Ge  0.667  0.333  0.750  -0.01
Nb  0.667  0.333  0.250  -0.06
Nb  0.333  0.667  0.750  -0.06
Sr  0.000  0.000  0.000  0.00
Sr  0.000  0.000  0.500  0.00

***

TmNbGe2O8 | PBE | optimized geometry

Calculated values
Total DFT energy (no corrections): -7.5875 eV per atom
SG: No. 119

Cell: 5.747 5.747 5.747 Å, 107.35 107.35 113.81°
Fractional coordinates of all 12 atoms:
O  0.936  0.240  0.304
O  0.936  0.632  0.696
O  0.882  0.704  0.178
O  0.526  0.704  0.822
O  0.368  0.064  0.304
O  0.760  0.064  0.696
O  0.296  0.474  0.178
O  0.296  0.118  0.822
Tm  0.250  0.750  0.500
Ge  0.500  0.500  0.000
Ge  0.750  0.250  0.500
Nb  0.000  0.000  0.000